[1]
This record from Alexandria describes Ti5Nb2AlRe2 after structural relaxation. The functional is GGA-PBE.

Cell: 3.154 10.542 10.542 Å, 90.00 90.00 90.00°
Element x y z (fractional)
Re 0.000 0.856 0.356
Re 0.000 0.644 0.856
Re 0.000 0.144 0.644
Re 0.000 0.356 0.144
Ti 0.500 0.709 0.467
Ti 0.500 0.967 0.209
Ti 0.500 0.791 0.967
Ti 0.500 0.033 0.791
Ti 0.500 0.291 0.533
Ti 0.500 0.467 0.291
Ti 0.500 0.500 0.000
Ti 0.500 0.533 0.709
Ti 0.500 0.209 0.033
Ti 0.500 0.000 0.500
Al 0.000 0.000 0.000
Al 0.000 0.500 0.500
Nb 0.000 0.822 0.678
Nb 0.000 0.678 0.178
Nb 0.000 0.322 0.822
Nb 0.000 0.178 0.322

Results
**D(E_F)**: 10.49 states/eV/f.u.
**Formation energy**: 39 meV per atom

[2]
This record from Alexandria describes PmTmSi2 after structural relaxation. The functional is GGA-PBE.

Cell: 4.595 4.595 5.824 Å, 66.77 66.77 60.00°
Element x y z (fractional)
Tm 0.500 0.500 0.500
Si 0.759 0.759 0.722
Si 0.241 0.241 0.278
Pm 0.000 0.000 0.000

Results
**D(E_F)**: 2.19 states/eV/f.u.
**Raw formation energy**: -494 meV/atom
**Polymorph energy (0 for the lowest one)**: 288 meV per atom

[3]
This record from Alexandria describes Pa3H after structural relaxation. The functional is GGA-PBE.

Cell: 3.117 5.451 5.521 Å, 119.58 106.40 90.00°
Element x y z (fractional)
Pa 0.681 0.055 0.362
Pa 0.319 0.693 0.638
Pa 0.500 0.383 0.000
H 0.000 0.035 0.000

Results
**D(E_F)**: 6.82 states/eV/f.u.
**Polymorph energy (0 for the lowest one)**: 0 meV per atom

[4]
This record from Alexandria describes TcP3 after structural relaxation. The functional is GGA-PBE.

Cell: 3.832 3.832 3.832 Å, 90.00 90.00 90.00°
Element x y z (fractional)
Tc 0.000 0.000 0.000
P 0.500 0.000 0.500
P 0.500 0.500 0.000
P 0.000 0.500 0.500

Results
**D(E_F)**: 2.20 states/eV/f.u.
**Formation energy**: 639 meV per atom
**Polymorph energy (0 for the lowest one)**: 1084 meV per atom

[5]
This record from Alexandria describes KCaInHg after structural relaxation. The functional is GGA-PBE.

Cell: 5.645 5.645 5.645 Å, 60.00 60.00 60.00°
Element x y z (fractional)
Ca 0.250 0.250 0.250
In 0.500 0.500 0.500
Hg 0.000 0.000 0.000
K 0.750 0.750 0.750

Results
**D(E_F)**: 2.93 states/eV/f.u.
**Formation energy**: -179 meV per atom

[6]
This record from Alexandria describes Ca3BiBr after structural relaxation. The functional is GGA-PBE.

Cell: 6.081 6.081 6.081 Å, 90.00 90.00 90.00°
Element x y z (fractional)
Bi 0.000 0.000 0.000
Ca 0.000 0.500 0.000
Ca 0.000 0.000 0.500
Ca 0.500 0.000 0.000
Br 0.500 0.500 0.500

Results
**D(E_F)**: 3.24 states/eV/f.u.
**Raw formation energy**: -463 meV/atom
**Polymorph energy (0 for the lowest one)**: 79 meV per atom

[7]
This record from Alexandria describes KInIr after structural relaxation. The functional is GGA-PBE.

Cell: 5.011 5.011 5.011 Å, 60.00 60.00 60.00°
Last column: magnetic moment on the atom in μB.
Element x y z (fractional)
Ir 0.500 0.500 0.500  0.90
K 0.750 0.750 0.750  0.00
In 0.000 0.000 0.000  0.00

Results
**D(E_F)**: 8.89 states/eV/f.u.
**Formation energy**: 1445 meV per atom
**Polymorph energy (0 for the lowest one)**: 1302 meV per atom

[8]
This record from Alexandria describes CdInSb2 after structural relaxation. The functional is GGA-PBE.

Cell: 3.791 3.791 7.693 Å, 90.00 90.00 90.00°
Element x y z (fractional)
Sb 0.000 0.000 0.030
Sb 0.500 0.500 0.235
Cd 0.000 0.000 0.495
In 0.500 0.500 0.740

Results
**D(E_F)**: 2.29 states/eV/f.u.
**Raw formation energy**: 123 meV/atom

| no. | DFT total energy (eV/atom) | spin magnetization (μB/atom) |
| --- | --- | --- |
| 1 | -8.786 | 0.000 |
| 2 | -5.512 | 0.000 |
| 3 | -7.938 | 0.000 |
| 4 | -6.010 | 0.000 |
| 5 | -1.714 | 0.000 |
| 6 | -2.775 | 0.000 |
| 7 | -2.788 | 0.307 |
| 8 | -2.851 | 0.000 |